Compound: NpTl2S2Br2
Source: Alexandria via LeMat-Bulk
Functional: PBE
Structure: relaxed

Lattice parameters (Å, degrees): 5.2487 5.2487 9.2936 106.40 106.40 90.00
Site moments in Bohr magnetons follow the coordinates.
Fractional coordinates of all 7 atoms:
Tl1 0.3751 0.3751 0.7503  0.00
S1 0.5000 0.0000 0.0000  -0.12
Br1 0.8335 0.8335 0.6670  -0.03
Np1 0.0000 0.0000 0.0000  3.27
Tl2 0.6249 0.6249 0.2497  0.00
S2 0.0000 0.5000 0.0000  -0.12
Br2 0.1665 0.1665 0.3330  -0.03

- space-group type = I4/mmm
- E_tot (Ry/atom) = -0.37871
- spin magnetization (Bohr magnetons per cell) = 3.0